18
Lattice="5.681 0.000 0.000 -2.841 4.920 0.000 0.000 0.000 10.021" Properties=species:S:1:pos:R:3 comment="HoNiAgF6 (PBE with a Hubbard U, optimized geometry)" dft_energy_ev_per_atom=-5.088 pbc="T T T"
Ho 0.000 3.280 2.505
Ho 2.841 1.640 7.516
Ni 0.000 3.280 7.516
Ni 2.841 1.640 2.505
Ag 0.000 0.000 0.000
Ag 0.000 0.000 5.010
F -0.961 1.856 6.417
F -1.713 3.160 8.614
F 0.961 1.856 8.614
F -0.753 4.824 6.417
F 2.088 0.096 1.407
F 1.127 1.760 3.604
F 1.713 3.160 6.417
F 0.753 4.824 8.614
F 3.593 0.096 3.604
F 1.880 3.064 1.407
F 4.554 1.760 1.407
F 3.801 3.064 3.604